[1]
NaTl2InIr (PBE, relaxed); total energy = -3.496 eV per atom; formation enthalpy at 0 K = 0.035 eV/atom
1.0
5.325 0.000 0.000
0.000 5.325 0.000
0.000 0.000 5.223
Na Tl In Ir
1 2 1 1
Direct
0.000 0.000 0.000 Na
0.000 0.500 0.500 Tl
0.500 0.000 0.500 Tl
0.500 0.500 0.000 In
0.500 0.500 0.500 Ir

[2]
TaRhW2 (PBE, relaxed); total energy = -10.620 eV per atom; polymorph energy (0 for the lowest one) = 753 meV/atom; formation enthalpy at 0 K = 0.657 eV/atom
1.0
7.348 0.000 0.000
0.000 7.348 0.000
0.000 0.000 5.223
Ta Rh W
4 4 8
Direct
0.000 0.000 0.000 Ta
0.000 0.500 0.250 Ta
0.500 0.000 0.750 Ta
0.500 0.500 0.500 Ta
0.000 0.000 0.500 Rh
0.000 0.500 0.750 Rh
0.500 0.000 0.250 Rh
0.500 0.500 0.000 Rh
0.230 0.250 0.625 W
0.250 0.730 0.875 W
0.250 0.770 0.375 W
0.270 0.250 0.125 W
0.730 0.750 0.125 W
0.750 0.230 0.375 W
0.750 0.270 0.875 W
0.770 0.750 0.625 W

[3]
BaYRe2 (PBE, relaxed); total energy = -7.572 eV per atom; polymorph energy (0 for the lowest one) = 478 meV/atom; formation enthalpy at 0 K = 0.748 eV/atom
1.0
3.246 0.000 0.000
0.000 4.654 0.000
-0.059 0.000 7.002
Ba Y Re
1 1 2
Direct
0.000 0.000 0.000 Ba
0.000 0.000 0.500 Y
0.496 0.500 0.338 Re
0.504 0.500 0.662 Re

[4]
Y4Er4Tm (PBE, relaxed); total energy = -5.285 eV per atom; polymorph energy (0 for the lowest one) = 86 meV/atom; formation enthalpy at 0 K = 0.113 eV/atom
1.0
8.339 -2.740 0.000
8.339 2.740 0.000
-2.549 0.000 6.232
Y Er Tm
4 4 1
Direct
0.134 0.134 0.473 Y
0.280 0.280 0.203 Y
0.720 0.720 0.797 Y
0.866 0.866 0.527 Y
0.072 0.072 0.886 Er
0.366 0.366 0.800 Er
0.634 0.634 0.200 Er
0.928 0.928 0.114 Er
0.500 0.500 0.500 Tm